# 1
# HfSe2BrO (PBE, relaxed)
data_HfSe2BrO
_cell_length_a 4.526
_cell_length_b 4.526
_cell_length_c 4.560
_cell_angle_alpha 90.00
_cell_angle_beta 90.00
_cell_angle_gamma 90.00
_symmetry_space_group_name_H-M 'P 1'
_symmetry_Int_Tables_number 1
loop_
_symmetry_equiv_pos_as_xyz
'x,y,z'
loop_
_atom_site_label
_atom_site_type_symbol
_atom_site_fract_x
_atom_site_fract_y
_atom_site_fract_z
Br1 Br 0.000 0.000 0.500
Se1 Se 0.500 0.000 0.000
Se2 Se 0.000 0.500 0.000
Hf1 Hf 0.500 0.500 0.500
O1 O 0.000 0.000 0.000
# ΔE to the lowest computed polymorph	0.275	eV/atom
# calculated total energy	-4.48	eV per atom
# Fermi-level density of states	0.69	states/eV per atom
# E_form (uncorrected)	234.9	meV per atom
# volume	93.4	Å³/cell

=====

# 2
# Sn2HgP (PBE, relaxed)
data_Sn2HgP
_cell_length_a 3.913
_cell_length_b 3.913
_cell_length_c 7.937
_cell_angle_alpha 75.73
_cell_angle_beta 75.73
_cell_angle_gamma 60.00
_symmetry_space_group_name_H-M 'P 1'
_symmetry_Int_Tables_number 1
loop_
_symmetry_equiv_pos_as_xyz
'x,y,z'
loop_
_atom_site_label
_atom_site_type_symbol
_atom_site_fract_x
_atom_site_fract_y
_atom_site_fract_z
Sn1 Sn 0.262 0.262 0.214
Sn2 Sn 0.738 0.738 0.786
Hg1 Hg 0.500 0.500 0.500
P1 P 0.000 0.000 0.000
# ΔE to the lowest computed polymorph	0.000	eV/atom
# calculated total energy	-3.42	eV per atom
# Fermi-level density of states	0.34	states/eV per atom
# volume	100.9	Å³/cell

=====

# 3
# BaHf2Tl2 (PBE, relaxed)
data_BaHf2Tl2
_cell_length_a 9.104
_cell_length_b 9.104
_cell_length_c 3.219
_cell_angle_alpha 90.00
_cell_angle_beta 90.00
_cell_angle_gamma 90.00
_symmetry_space_group_name_H-M 'P 1'
_symmetry_Int_Tables_number 1
loop_
_symmetry_equiv_pos_as_xyz
'x,y,z'
loop_
_atom_site_label
_atom_site_type_symbol
_atom_site_fract_x
_atom_site_fract_y
_atom_site_fract_z
Tl1 Tl 0.827 0.327 0.500
Tl2 Tl 0.673 0.827 0.500
Tl3 Tl 0.173 0.673 0.500
Tl4 Tl 0.327 0.173 0.500
Hf1 Hf 0.380 0.880 0.000
Hf2 Hf 0.880 0.620 0.000
Hf3 Hf 0.120 0.380 0.000
Hf4 Hf 0.620 0.120 0.000
Ba1 Ba 0.500 0.500 0.000
Ba2 Ba 0.000 0.000 0.000
# ΔE to the lowest computed polymorph	0.000	eV/atom
# calculated total energy	-5.15	eV per atom
# Fermi-level density of states	1.28	states/eV per atom
# volume	266.8	Å³/cell

=====

# 4
# NaSr3Tl2 (PBE, relaxed)
data_NaSr3Tl2
_cell_length_a 4.147
_cell_length_b 4.147
_cell_length_c 13.188
_cell_angle_alpha 90.00
_cell_angle_beta 90.00
_cell_angle_gamma 90.00
_symmetry_space_group_name_H-M 'P 1'
_symmetry_Int_Tables_number 1
loop_
_symmetry_equiv_pos_as_xyz
'x,y,z'
loop_
_atom_site_label
_atom_site_type_symbol
_atom_site_fract_x
_atom_site_fract_y
_atom_site_fract_z
Tl1 Tl 0.500 0.500 0.847
Tl2 Tl 0.500 0.500 0.153
Sr1 Sr 0.000 0.000 0.000
Sr2 Sr 0.000 0.000 0.701
Sr3 Sr 0.000 0.000 0.299
Na1 Na 0.500 0.500 0.500
# calculated total energy	-2.14	eV per atom
# Fermi-level density of states	0.88	states/eV per atom
# volume	226.8	Å³/cell

=====

# 5
# Ac3Pm6Dy (PBE, relaxed)
data_Ac3Pm6Dy
_cell_length_a 10.179
_cell_length_b 10.179
_cell_length_c 7.284
_cell_angle_alpha 45.67
_cell_angle_beta 45.67
_cell_angle_gamma 60.00
_symmetry_space_group_name_H-M 'P 1'
_symmetry_Int_Tables_number 1
loop_
_symmetry_equiv_pos_as_xyz
'x,y,z'
loop_
_atom_site_label
_atom_site_type_symbol
_atom_site_fract_x
_atom_site_fract_y
_atom_site_fract_z
Pm1 Pm 0.774 0.100 0.680
Pm2 Pm 0.600 0.254 0.219
Pm3 Pm 0.100 0.446 0.680
Pm4 Pm 0.446 0.774 0.680
Pm5 Pm 0.254 0.926 0.219
Pm6 Pm 0.926 0.600 0.219
Ac1 Ac 0.608 0.608 0.177
Ac2 Ac 0.092 0.092 0.724
Ac3 Ac 0.350 0.350 0.950
Dy1 Dy 0.850 0.850 0.450
# calculated total energy	-4.18	eV per atom
# Fermi-level density of states	2.48	states/eV per atom
# volume	386.1	Å³/cell

=====

# 6
# La4Sm2Tm (PBE, relaxed)
data_La4Sm2Tm
_cell_length_a 6.954
_cell_length_b 9.167
_cell_length_c 9.167
_cell_angle_alpha 79.00
_cell_angle_beta 67.71
_cell_angle_gamma 67.71
_symmetry_space_group_name_H-M 'P 1'
_symmetry_Int_Tables_number 1
loop_
_symmetry_equiv_pos_as_xyz
'x,y,z'
loop_
_atom_site_label
_atom_site_type_symbol
_atom_site_fract_x
_atom_site_fract_y
_atom_site_fract_z
Sm1 Sm 0.500 0.000 0.000
Sm2 Sm 0.716 0.034 0.534
Sm3 Sm 0.500 0.500 0.500
Sm4 Sm 0.284 0.966 0.466
La1 La 0.850 0.154 0.145
La2 La 0.212 0.757 0.257
La3 La 0.150 0.846 0.855
La4 La 0.850 0.645 0.654
La5 La 0.150 0.355 0.346
La6 La 0.788 0.243 0.743
La7 La 0.774 0.757 0.257
La8 La 0.226 0.243 0.743
Tm1 Tm 0.500 0.500 0.000
Tm2 Tm 0.000 0.500 0.000
# ΔE to the lowest computed polymorph	0.138	eV/atom
# calculated total energy	-4.60	eV per atom
# Fermi-level density of states	1.33	states/eV per atom
# volume	499.5	Å³/cell

=====

# 7
# ZnTePd2 (PBE, relaxed)
data_ZnTePd2
_cell_length_a 4.160
_cell_length_b 4.160
_cell_length_c 9.303
_cell_angle_alpha 77.08
_cell_angle_beta 77.08
_cell_angle_gamma 90.00
_symmetry_space_group_name_H-M 'P 1'
_symmetry_Int_Tables_number 1
loop_
_symmetry_equiv_pos_as_xyz
'x,y,z'
loop_
_atom_site_label
_atom_site_type_symbol
_atom_site_fract_x
_atom_site_fract_y
_atom_site_fract_z
Zn1 Zn 0.500 0.500 0.000
Zn2 Zn 0.250 0.750 0.500
Pd1 Pd 0.375 0.377 0.750
Pd2 Pd 0.875 0.873 0.750
Pd3 Pd 0.127 0.625 0.250
Pd4 Pd 0.623 0.125 0.250
Te1 Te 0.750 0.250 0.500
Te2 Te 0.000 0.000 0.000
# ΔE to the lowest computed polymorph	0.098	eV/atom
# calculated total energy	-3.88	eV per atom
# Fermi-level density of states	0.17	states/eV per atom
# E_form (uncorrected)	-182.0	meV per atom
# volume	152.8	Å³/cell

=====

# 8
# Fe2AgBr (PBE, relaxed)
data_Fe2AgBr
_cell_length_a 5.118
_cell_length_b 5.118
_cell_length_c 5.118
_cell_angle_alpha 134.73
_cell_angle_beta 134.73
_cell_angle_gamma 65.96
_symmetry_space_group_name_H-M 'P 1'
_symmetry_Int_Tables_number 1
loop_
_symmetry_equiv_pos_as_xyz
'x,y,z'
loop_
_atom_site_label
_atom_site_type_symbol
_atom_site_fract_x
_atom_site_fract_y
_atom_site_fract_z
Fe1 Fe 0.250 0.750 0.500
Fe2 Fe 0.000 0.000 0.000
Ag1 Ag 0.500 0.500 0.000
Br1 Br 0.750 0.250 0.500
# ΔE to the lowest computed polymorph	0.452	eV/atom
# calculated total energy	-4.57	eV per atom
# Fermi-level density of states	1.15	states/eV per atom
# E_form (uncorrected)	793.7	meV per atom
# volume	66.6	Å³/cell

=====

# 9
# Li2AgIr (PBE, relaxed)
data_Li2AgIr
_cell_length_a 4.718
_cell_length_b 4.718
_cell_length_c 4.718
_cell_angle_alpha 131.38
_cell_angle_beta 131.38
_cell_angle_gamma 71.21
_symmetry_space_group_name_H-M 'P 1'
_symmetry_Int_Tables_number 1
loop_
_symmetry_equiv_pos_as_xyz
'x,y,z'
loop_
_atom_site_label
_atom_site_type_symbol
_atom_site_fract_x
_atom_site_fract_y
_atom_site_fract_z
Li1 Li 0.500 0.500 0.000
Li2 Li 0.000 0.000 0.000
Ag1 Ag 0.250 0.750 0.500
Ir1 Ir 0.750 0.250 0.500
# calculated total energy	-3.84	eV per atom
# Fermi-level density of states	0.36	states/eV per atom
# volume	57.9	Å³/cell

=====

# 10
# SrH16O10 (PBE, relaxed)
data_SrH16O10
_cell_length_a 6.325
_cell_length_b 6.327
_cell_length_c 11.158
_cell_angle_alpha 90.26
_cell_angle_beta 89.71
_cell_angle_gamma 89.93
_symmetry_space_group_name_H-M 'P 1'
_symmetry_Int_Tables_number 1
loop_
_symmetry_equiv_pos_as_xyz
'x,y,z'
loop_
_atom_site_label
_atom_site_type_symbol
_atom_site_fract_x
_atom_site_fract_y
_atom_site_fract_z
H1 H 0.551 0.974 0.626
H2 H 0.397 0.285 0.642
H3 H 0.393 0.271 0.349
H4 H 0.457 0.971 0.867
H5 H 0.733 0.613 0.849
H6 H 0.610 0.275 0.144
H7 H 0.286 0.395 0.851
H8 H 0.726 0.388 0.352
H9 H 0.320 0.144 0.529
H10 H 0.033 0.453 0.126
H11 H 0.398 0.728 0.849
H12 H 0.146 0.317 0.964
H13 H 0.973 0.455 0.626
H14 H 0.144 0.687 0.528
H15 H 0.729 0.397 0.644
H16 H 0.614 0.732 0.644
H17 H 0.278 0.606 0.349
H18 H 0.275 0.390 0.144
H19 H 0.688 0.859 0.464
H20 H 0.862 0.686 0.029
H21 H 0.975 0.550 0.867
H22 H 0.863 0.316 0.465
H23 H 0.551 0.032 0.126
H24 H 0.392 0.723 0.141
H25 H 0.456 0.030 0.367
H26 H 0.611 0.719 0.351
H27 H 0.035 0.548 0.367
H28 H 0.617 0.280 0.852
H29 H 0.319 0.861 0.028
H30 H 0.282 0.615 0.641
H31 H 0.722 0.608 0.142
H32 H 0.689 0.142 0.965
O1 O 0.335 0.871 0.872
O2 O 0.132 0.330 0.120
O3 O 0.334 0.142 0.619
O4 O 0.143 0.332 0.874
O5 O 0.876 0.673 0.873
O6 O 0.135 0.670 0.372
O7 O 0.674 0.861 0.374
O8 O 0.139 0.675 0.617
O9 O 0.673 0.132 0.120
O10 O 0.675 0.875 0.620
O11 O 0.332 0.866 0.117
O12 O 0.507 0.506 0.679
O13 O 0.865 0.671 0.119
O14 O 0.507 0.506 0.813
O15 O 0.500 0.497 0.313
O16 O 0.872 0.333 0.621
O17 O 0.333 0.129 0.373
O18 O 0.501 0.497 0.179
O19 O 0.676 0.137 0.876
O20 O 0.869 0.328 0.376
Sr1 Sr 0.006 0.004 0.746
Sr2 Sr 0.002 0.999 0.247
# ΔE to the lowest computed polymorph	0.000	eV/atom
# calculated total energy	-5.05	eV per atom
# Fermi-level density of states	0.00	states/eV per atom
# volume	446.5	Å³/cell

=====

Q: Which of these has the highest volume?
A: La4Sm2Tm